Here is a relaxed structure of LiCrF2 from the Alexandria database. Energies are from PBE with a Hubbard U.

Output
For the total magnetization, the calculation gives 1.22 μB per atom. For the density of states at the Fermi level, the calculation gives 6.3 states/eV/f.u. As for the polymorph energy (0 for the lowest one): 346 meV/atom.

Unit cell a=3.588 b=3.588 c=17.158 alpha=90.00 beta=90.00 gamma=120.00
Element x y z (fractional)
Li 0.000 0.000 0.000
Li 0.333 0.667 0.667
Li 0.667 0.333 0.333
Cr 0.000 0.000 0.500
Cr 0.333 0.667 0.167
Cr 0.667 0.333 0.833
F 0.000 0.000 0.103
F 0.000 0.000 0.897
F 0.333 0.667 0.563
F 0.333 0.667 0.770
F 0.667 0.333 0.230
F 0.667 0.333 0.437